[1]
# Cd2SiSe | Alexandria | PBE | optimized geometry
# polymorph energy (0 for the lowest one) = 200 meV per atom
# formation energy without anion corrections = 0.278 eV per atom
data_Cd2SiSe
_symmetry_space_group_name_H-M 'P 1'
_symmetry_Int_Tables_number 1
_symmetry_space_group_name_Hall 'P 1'
_cell_length_a 5.407
_cell_length_b 5.407
_cell_length_c 5.407
_cell_angle_alpha 138.29
_cell_angle_beta 120.71
_cell_angle_gamma 75.09
loop_
_atom_site_label
_atom_site_type_symbol
_atom_site_fract_x
_atom_site_fract_y
_atom_site_fract_z
Se1 Se 0.750 0.250 0.500
Cd1 Cd 0.492 0.492 0.000
Cd2 Cd 0.008 0.008 0.000
Si1 Si 0.250 0.750 0.500


[2]
# SnSbF2 | Alexandria | PBE | optimized geometry
# polymorph energy (0 for the lowest one) = 67 meV per atom
# formation energy without anion corrections = -1.257 eV per atom
data_SnSbF2
_symmetry_space_group_name_H-M 'P 1'
_symmetry_Int_Tables_number 1
_symmetry_space_group_name_Hall 'P 1'
_cell_length_a 8.767
_cell_length_b 8.767
_cell_length_c 8.767
_cell_angle_alpha 21.18
_cell_angle_beta 21.18
_cell_angle_gamma 21.18
loop_
_atom_site_label
_atom_site_type_symbol
_atom_site_fract_x
_atom_site_fract_y
_atom_site_fract_z
F1 F 0.089 0.089 0.089
F2 F 0.911 0.911 0.911
Sn1 Sn 0.000 0.000 0.000
Sb1 Sb 0.500 0.500 0.500


[3]
# Ca4SmTl5 | Alexandria | PBE | optimized geometry
# DFT formation energy = -4.284 eV/f.u.
data_Ca4SmTl5
_symmetry_space_group_name_H-M 'P 1'
_symmetry_Int_Tables_number 1
_symmetry_space_group_name_Hall 'P 1'
_cell_length_a 3.891
_cell_length_b 3.891
_cell_length_c 19.318
_cell_angle_alpha 90.00
_cell_angle_beta 90.00
_cell_angle_gamma 90.00
loop_
_atom_site_label
_atom_site_type_symbol
_atom_site_fract_x
_atom_site_fract_y
_atom_site_fract_z
Ca1 Ca 0.000 0.000 0.400
Ca2 Ca 0.000 0.000 0.201
Ca3 Ca 0.000 0.000 0.600
Ca4 Ca 0.000 0.000 0.799
Tl1 Tl 0.500 0.500 0.300
Tl2 Tl 0.500 0.500 0.700
Tl3 Tl 0.500 0.500 0.099
Tl4 Tl 0.500 0.500 0.500
Tl5 Tl 0.500 0.500 0.901
Sm1 Sm 0.000 0.000 0.000


Number 1: calculated density 6.24 g/cm³, M_tot 0.000 μB per formula unit. Number 2: calculated density 6.00 g/cm³, M_tot 0.000 μB per formula unit. Number 3: calculated density 7.57 g/cm³, M_tot 0.000 μB per formula unit.